Entry 1:
Density functional theory data (PBE) for an optimized crystal structure of ScAg2As.

SG	No. 6

Cell: 3.712 3.766 5.969 Å, 90.00 107.99 90.00°
Element x y z (fractional)
Sc 0.000 0.000 0.000
Ag 0.269 0.000 0.535
Ag 0.681 0.500 0.359
As 0.444 0.500 0.887

***

Entry 2:
Density functional theory data (PBE) for an optimized crystal structure of InAgIr3.

SG	No. 221

Cell: 4.811 4.811 4.811 Å, 90.00 90.00 90.00°
Element x y z (fractional)
In 0.000 0.000 0.000
Ag 0.500 0.500 0.500
Ir 0.000 0.500 0.500
Ir 0.500 0.000 0.500
Ir 0.500 0.500 0.000

***

Entry 3:
Density functional theory data (PBE) for an optimized crystal structure of SmDyTmIn.

SG	No. 216

Cell: 5.461 5.461 5.461 Å, 60.00 60.00 60.00°
Element x y z (fractional)
Sm 0.000 0.000 0.000
Dy 0.500 0.500 0.500
Tm 0.250 0.250 0.250
In 0.750 0.750 0.750

***

Entry 4:
Density functional theory data (PBE) for an optimized crystal structure of Pa2OsSe.

SG	No. 160

Cell: 7.647 7.647 7.647 Å, 29.71 29.71 29.71°
Element x y z (fractional)
Pa 0.000 0.000 0.000
Pa 0.188 0.188 0.188
Os 0.592 0.592 0.592
Se 0.762 0.762 0.762

***

Entry 5:
Density functional theory data (PBE) for an optimized crystal structure of Pu3GeCl3.

SG	No. 148

Cell: 10.779 10.779 10.779 Å, 37.80 37.80 37.80°
Element x y z (fractional)
Pu 0.128 0.444 0.760
Pu 0.240 0.872 0.556
Pu 0.444 0.760 0.128
Pu 0.556 0.240 0.872
Pu 0.760 0.128 0.444
Pu 0.872 0.556 0.240
Ge 0.167 0.167 0.167
Ge 0.833 0.833 0.833
Cl 0.039 0.743 0.391
Cl 0.257 0.609 0.961
Cl 0.391 0.039 0.743
Cl 0.609 0.961 0.257
Cl 0.743 0.391 0.039
Cl 0.961 0.257 0.609

***

Entry 6:
Density functional theory data (PBE) for an optimized crystal structure of LiSbF2.

SG	No. 122

Cell: 5.713 5.713 5.713 Å, 125.61 125.61 80.53°
Element x y z (fractional)
Li 0.000 0.000 0.000
Li 0.750 0.250 0.500
Sb 0.250 0.750 0.500
Sb 0.500 0.500 0.000
F 0.003 0.625 0.878
F 0.375 0.253 0.378
F 0.747 0.125 0.122
F 0.875 0.997 0.622

***

Entry 7:
Density functional theory data (PBE) for an optimized crystal structure of SnSeSN2.

SG	No. 123

Cell: 4.063 4.063 5.873 Å, 90.00 90.00 90.00°
Element x y z (fractional)
Sn 0.000 0.000 0.000
Se 0.000 0.000 0.500
S 0.500 0.500 0.500
N 0.000 0.500 0.000
N 0.500 0.000 0.000

***

Entry 8:
Density functional theory data (PBE) for an optimized crystal structure of PmSmYHg.

SG	No. 99

Cell: 3.678 3.678 8.936 Å, 90.00 90.00 90.00°
Element x y z (fractional)
Pm 0.000 0.000 0.000
Sm 0.500 0.500 0.718
Y 0.500 0.500 0.281
Hg 0.000 0.000 0.491

***

Entry 9:
Density functional theory data (PBE) for an optimized crystal structure of LiMg2Tl2Cd2.

SG	No. 2

Cell: 3.823 5.904 7.574 Å, 93.97 90.10 108.54°
Element x y z (fractional)
Li 0.000 0.000 0.000
Mg 0.142 0.283 0.427
Mg 0.858 0.717 0.573
Tl 0.426 0.853 0.273
Tl 0.574 0.147 0.727
Cd 0.295 0.592 0.862
Cd 0.705 0.408 0.138

***

Entry 10:
Density functional theory data (PBE) for an optimized crystal structure of BaTaSCl2.

SG	No. 123

Cell: 5.711 5.711 6.170 Å, 90.00 90.00 90.00°
Element x y z (fractional)
Ba 0.000 0.000 0.000
Ta 0.500 0.500 0.500
S 0.000 0.000 0.500
Cl 0.000 0.500 0.000
Cl 0.500 0.000 0.000

***

Entry 11:
Density functional theory data (PBE) for an optimized crystal structure of ZnCdSe.

SG	No. 216

Cell: 4.614 4.614 4.614 Å, 60.00 60.00 60.00°
Element x y z (fractional)
Zn 0.000 0.000 0.000
Cd 0.250 0.250 0.250
Se 0.750 0.750 0.750

***

Entry 12:
Density functional theory data (PBE) for an optimized crystal structure of CaPPb2.

SG	No. 122

Cell: 6.968 6.968 6.968 Å, 100.58 100.58 129.25°
Element x y z (fractional)
Ca 0.000 0.000 0.000
Ca 0.750 0.250 0.500
P 0.250 0.750 0.500
P 0.500 0.500 0.000
Pb 0.188 0.625 0.063
Pb 0.375 0.438 0.563
Pb 0.562 0.125 0.937
Pb 0.875 0.812 0.437

***

Electronic total energy? In order: -4.60 -4.38 -4.28 -9.15 -8.73 -4.28 -4.18 -4.29 -1.74 -3.98 -1.90 -3.91 eV/atom.